Entry 1:
Material: Ce2Ga10Pd
Method: DFT, meta-GGA SCAN
State: PBEsol geometry

a = 13.1668 Å, b = 13.1668 Å, c = 13.1668 Å
α = 161.05°, β = 161.05°, γ = 26.92°
Closest atoms and distances in Å follow each position.
Sites, in units of the cell vectors:
Ce: 0.1452 0.1452 0.0000  16 Ga 3.22-3.45
Ce: 0.8548 0.8548 0.0000  16 Ga 3.22-3.45
Ga: 0.0524 0.5524 0.5000  2 Pd 2.55, 3 Ga 2.56-2.68
Ga: 0.2500 0.7500 0.5000  4 Ga 2.54
Ga: 0.3020 0.3020 0.0000  5 Ga 2.37-2.54
Ga: 0.3944 0.3944 0.0000  5 Ga 2.37-2.56
Ga: 0.4476 0.9476 0.5000  2 Pd 2.55, 3 Ga 2.56-2.68
Ga: 0.5524 0.0524 0.5000  2 Pd 2.55, 3 Ga 2.56-2.68
Ga: 0.6056 0.6056 0.0000  5 Ga 2.37-2.56
Ga: 0.6980 0.6980 0.0000  5 Ga 2.37-2.54
Ga: 0.7500 0.2500 0.5000  4 Ga 2.54
Ga: 0.9476 0.4476 0.5000  2 Pd 2.55, 3 Ga 2.56-2.68
Pd: 0.0000 0.0000 0.0000  8 Ga 2.55

Properties
As for the total energy: -292.6 eV/cell. The theoretical density is 7.48 g cm⁻³. Its formation energy is -555 meV/atom.

Entry 2:
Material: CeGaPd
Method: DFT, meta-GGA SCAN
State: PBEsol geometry

a = 6.8050 Å, b = 4.4675 Å, c = 7.7166 Å
α = 90.00°, β = 90.00°, γ = 90.00°
Closest atoms and distances in Å follow each position.
Sites, in units of the cell vectors:
Ce: 0.0158 0.2500 0.2079  5 Pd 2.91-3.13, 6 Ga 3.08-3.19
Ce: 0.4842 0.7500 0.7079  5 Pd 2.91-3.13, 6 Ga 3.08-3.19
Ce: 0.5158 0.2500 0.2921  5 Pd 2.91-3.13, 6 Ga 3.08-3.19
Ce: 0.9842 0.7500 0.7921  5 Pd 2.91-3.13, 6 Ga 3.08-3.19
Ga: 0.1820 0.2500 0.5806  4 Pd 2.61-2.76
Ga: 0.3180 0.7500 0.0806  4 Pd 2.61-2.76
Ga: 0.6820 0.2500 0.9194  4 Pd 2.61-2.76
Ga: 0.8180 0.7500 0.4194  4 Pd 2.61-2.76
Pd: 0.2227 0.7500 0.4100  4 Ga 2.61-2.76, 1 Ce 2.91
Pd: 0.2773 0.2500 0.9100  4 Ga 2.61-2.76, 1 Ce 2.91
Pd: 0.7227 0.7500 0.0900  4 Ga 2.61-2.76, 1 Ce 2.91
Pd: 0.7773 0.2500 0.5900  4 Ga 2.61-2.76, 1 Ce 2.91

Properties
As for the total energy: -385.3 eV/cell. The theoretical density is 8.95 g cm⁻³. Its formation energy is -880 meV/atom.

Entry 3:
Material: CeGa3Pd2
Method: DFT, meta-GGA SCAN
State: PBEsol geometry

a = 5.3061 Å, b = 5.3061 Å, c = 4.2414 Å
α = 90.00°, β = 90.00°, γ = 120.00°
Closest atoms and distances in Å follow each position.
Sites, in units of the cell vectors:
Ce: 0.0000 0.0000 0.0000  6 Pd 3.06, 12 Ga 3.40
Ga: 0.0000 0.5000 0.5000  4 Pd 2.62, 4 Ga 2.65
Ga: 0.5000 0.0000 0.5000  4 Pd 2.62, 4 Ga 2.65
Ga: 0.5000 0.5000 0.5000  4 Pd 2.62, 4 Ga 2.65
Pd: 0.3333 0.6667 0.0000  6 Ga 2.62
Pd: 0.6667 0.3333 0.0000  6 Ga 2.62

Properties
As for the total energy: -164.0 eV/cell. The theoretical density is 9.03 g cm⁻³. Its formation energy is -803 meV/atom.

Entry 4:
Material: CeGa6Pd
Method: DFT, meta-GGA SCAN
State: PBEsol geometry

a = 4.3005 Å, b = 4.3005 Å, c = 7.7987 Å
α = 90.00°, β = 90.00°, γ = 90.00°
Closest atoms and distances in Å follow each position.
Sites, in units of the cell vectors:
Ce: 0.0000 0.0000 0.0000  16 Ga 3.26-3.33
Ga: 0.0000 0.5000 0.3257  2 Pd 2.54, 3 Ga 2.55-2.72
Ga: 0.0000 0.5000 0.6743  2 Pd 2.54, 3 Ga 2.55-2.72
Ga: 0.5000 0.0000 0.3257  2 Pd 2.54, 3 Ga 2.55-2.72
Ga: 0.5000 0.0000 0.6743  2 Pd 2.54, 3 Ga 2.55-2.72
Ga: 0.5000 0.5000 0.1500  5 Ga 2.34-2.55
Ga: 0.5000 0.5000 0.8500  5 Ga 2.34-2.55
Pd: 0.0000 0.0000 0.5000  8 Ga 2.54

Properties
As for the total energy: -180.0 eV/cell. The theoretical density is 7.65 g cm⁻³. Its formation energy is -567 meV/atom.

Entry 5:
Material: CeGaPt4
Method: DFT, meta-GGA SCAN
State: PBEsol geometry

a = 5.4115 Å, b = 5.4115 Å, c = 4.2117 Å
α = 90.00°, β = 90.00°, γ = 120.00°
Closest atoms and distances in Å follow each position.
Sites, in units of the cell vectors:
Ce: 0.0000 0.0000 0.0000  3 Ga 3.12, 15 Pt 3.12-3.43
Ga: 0.6667 0.3333 0.0000  6 Pt 2.62
Pt: 0.3333 0.6667 0.0000  6 Pt 2.63
Pt: 0.5010 0.0020 0.5000  2 Ga 2.62, 6 Pt 2.63-2.72
Pt: 0.5010 0.4990 0.5000  2 Ga 2.62, 6 Pt 2.63-2.72
Pt: 0.9980 0.4990 0.5000  2 Ga 2.62, 6 Pt 2.63-2.72

Properties
As for the total energy: -346.9 eV/cell. The theoretical density is 15.39 g cm⁻³. Its formation energy is -878 meV/atom.

Entry 6:
Material: CeGaRh
Method: DFT, meta-GGA SCAN
State: PBEsol geometry

a = 7.4373 Å, b = 4.4807 Å, c = 6.6291 Å
α = 90.00°, β = 90.00°, γ = 90.00°
Closest atoms and distances in Å follow each position.
Sites, in units of the cell vectors:
Ce: 0.0215 0.2500 0.1629  4 Rh 2.88-3.03, 5 Ga 3.06-3.12, 2 Ce 3.13
Ce: 0.4785 0.7500 0.6629  4 Rh 2.88-3.03, 5 Ga 3.06-3.12, 2 Ce 3.13
Ce: 0.5215 0.2500 0.3371  4 Rh 2.88-3.03, 5 Ga 3.06-3.12, 2 Ce 3.13
Ce: 0.9785 0.7500 0.8371  4 Rh 2.88-3.03, 5 Ga 3.06-3.12, 2 Ce 3.13
Ga: 0.1937 0.2500 0.6159  4 Rh 2.49-2.55
Ga: 0.3063 0.7500 0.1159  4 Rh 2.49-2.55
Ga: 0.6937 0.2500 0.8841  4 Rh 2.49-2.55
Ga: 0.8063 0.7500 0.3841  4 Rh 2.49-2.55
Rh: 0.1386 0.7500 0.4412  4 Ga 2.49-2.55
Rh: 0.3614 0.2500 0.9412  4 Ga 2.49-2.55
Rh: 0.6386 0.7500 0.0588  4 Ga 2.49-2.55
Rh: 0.8614 0.2500 0.5588  4 Ga 2.49-2.55

Properties
As for the total energy: -389.7 eV/cell. The theoretical density is 9.40 g cm⁻³. Its formation energy is -912 meV/atom.